VASP calculation (SCAN) on a crystal of Mn7CrO16 relaxed with PBEsol.

Summary:
energy: -294.6 eV per cell
total magnetic moment: 0.96 μB per atom
ρ: 4.446 g cm⁻³

Lattice parameters (Å, degrees): 5.671 5.680 8.031 90.16 90.00 90.00
Each line ends with the local moment (μB).
Sites, in units of the cell vectors:
O (0.000, 0.529, 0.736)  0.05
Mn (0.500, 0.000, 0.000)  2.84
Mn (0.750, 0.751, 0.749)  2.84
O (0.722, 0.751, 0.985)  0.02
O (0.000, 0.471, 0.264)  0.05
Mn (0.250, 0.751, 0.749)  2.84
O (0.000, 0.973, 0.736)  0.06
Mn (0.750, 0.249, 0.251)  2.84
O (0.778, 0.750, 0.514)  0.06
O (0.500, 0.973, 0.764)  0.05
Mn (0.000, 0.500, 0.500)  2.84
O (0.278, 0.249, 0.015)  0.02
O (0.500, 0.469, 0.237)  0.03
O (0.222, 0.250, 0.486)  0.06
O (0.000, 0.027, 0.264)  0.06
O (0.500, 0.531, 0.763)  0.03
Mn (0.250, 0.249, 0.251)  2.84
O (0.722, 0.249, 0.015)  0.02
Mn (0.000, 0.000, 0.500)  2.84
O (0.222, 0.750, 0.514)  0.06
O (0.778, 0.250, 0.486)  0.06
O (0.500, 0.027, 0.236)  0.05
Cr (0.500, 0.500, 0.000)  2.08
O (0.278, 0.751, 0.985)  0.02

VASP calculation (SCAN) on a crystal of Li2CuH4O4 relaxed with PBEsol.

Summary:
energy: -292.7 eV per cell
total magnetic moment: 0.09 μB per atom
ρ: 2.954 g cm⁻³

Lattice parameters (Å, degrees): 6.261 6.433 8.121 90.00 90.00 90.00
Each line ends with the local moment (μB).
Sites, in units of the cell vectors:
O (0.257, 0.048, 0.762)  0.07
Li (0.201, 0.535, 0.975)  0.00
O (0.030, 0.801, 0.981)  0.07
O (0.242, 0.469, 0.742)  0.08
H (0.752, 0.186, 0.752)  0.00
H (0.911, 0.475, 0.740)  0.00
H (0.510, 0.725, 0.422)  0.00
O (0.006, 0.702, 0.528)  0.08
H (0.248, 0.814, 0.252)  0.00
H (0.033, 0.197, 0.592)  0.00
O (0.994, 0.298, 0.028)  0.08
O (0.970, 0.199, 0.481)  0.07
Cu (0.260, 0.008, 0.004)  0.69
H (0.010, 0.775, 0.422)  0.00
O (0.742, 0.031, 0.742)  0.08
Li (0.988, 0.147, 0.243)  0.00
O (0.758, 0.531, 0.242)  0.08
H (0.967, 0.803, 0.092)  0.00
Li (0.488, 0.353, 0.243)  0.00
O (0.470, 0.301, 0.481)  0.07
O (0.258, 0.969, 0.242)  0.08
O (0.530, 0.699, 0.981)  0.07
O (0.243, 0.548, 0.262)  0.07
Li (0.701, 0.965, 0.975)  0.00
Li (0.799, 0.465, 0.475)  0.00
O (0.743, 0.952, 0.262)  0.07
Li (0.512, 0.647, 0.743)  0.00
H (0.411, 0.025, 0.740)  0.00
H (0.490, 0.275, 0.922)  0.00
O (0.506, 0.798, 0.528)  0.08
H (0.252, 0.314, 0.752)  0.00
Cu (0.240, 0.508, 0.504)  0.69
H (0.089, 0.525, 0.240)  0.00
Li (0.012, 0.853, 0.743)  0.00
O (0.757, 0.452, 0.762)  0.07
H (0.467, 0.697, 0.092)  0.00
Li (0.299, 0.035, 0.475)  0.00
O (0.494, 0.202, 0.028)  0.08
H (0.748, 0.686, 0.252)  0.00
Cu (0.760, 0.492, 0.004)  0.69
H (0.533, 0.303, 0.592)  0.00
H (0.589, 0.975, 0.240)  0.00
Cu (0.740, 0.992, 0.504)  0.69
H (0.990, 0.225, 0.922)  0.00

VASP calculation (SCAN) on a crystal of CaIr2 relaxed with PBEsol.

Summary:
total magnetic moment: 0.00 μB per atom
ρ: 12.589 g cm⁻³
energy of formation from the pure elements: -0.19 eV/atom

Lattice parameters (Å, degrees): 2.799 4.022 5.545 111.26 104.62 90.00
Sites, in units of the cell vectors:
Ca (0.000, 0.000, 0.000)
Ir (0.287, 0.287, 0.574)
Ir (0.713, 0.713, 0.426)

VASP calculation (SCAN) on a crystal of Hf3Sc4O12 relaxed with PBEsol.

Summary:
energy: -786.6 eV per cell
total magnetic moment: 0.00 μB per atom
ρ: 6.937 g cm⁻³

Lattice parameters (Å, degrees): 6.116 6.126 12.152 99.34 99.35 99.70
Sites, in units of the cell vectors:
O (0.946, 0.317, 0.299)
Hf (0.005, 0.004, 0.749)
O (0.093, 0.940, 0.411)
O (0.179, 0.416, 0.036)
Sc (0.391, 0.688, 0.680)
O (0.426, 0.825, 0.040)
O (0.675, 0.904, 0.278)
O (0.580, 0.430, 0.659)
O (0.910, 0.054, 0.088)
Hf (0.317, 0.141, 0.056)
Sc (0.393, 0.678, 0.181)
O (0.576, 0.414, 0.158)
Sc (0.864, 0.393, 0.094)
Hf (0.860, 0.388, 0.594)
O (0.054, 0.683, 0.701)
Hf (0.140, 0.612, 0.406)
Hf (0.683, 0.859, 0.944)
O (0.175, 0.420, 0.536)
O (0.424, 0.586, 0.842)
O (0.938, 0.327, 0.787)
O (0.821, 0.584, 0.964)
O (0.317, 0.091, 0.218)
Sc (0.680, 0.858, 0.445)
O (0.062, 0.673, 0.213)
Sc (0.609, 0.312, 0.320)
Sc (0.320, 0.142, 0.555)
O (0.414, 0.818, 0.536)
O (0.574, 0.175, 0.960)
O (0.325, 0.096, 0.722)
Sc (0.136, 0.607, 0.906)
Hf (0.995, 0.996, 0.251)
O (0.683, 0.909, 0.782)
Sc (0.607, 0.322, 0.819)
O (0.586, 0.182, 0.464)
O (0.090, 0.946, 0.912)
O (0.420, 0.570, 0.341)
O (0.907, 0.060, 0.589)
O (0.825, 0.580, 0.464)

VASP calculation (SCAN) on a crystal of Ru3Cl relaxed with PBEsol.

Summary:
total magnetic moment: 0.00 μB per atom
ρ: 10.089 g cm⁻³
relative energy among the computed polymorphs: 352.5 meV/atom

Lattice parameters (Å, degrees): 2.731 4.800 5.070 118.25 105.63 90.00
Sites, in units of the cell vectors:
Cl (0.000, 0.086, 0.000)
Ru (0.500, 0.498, 0.000)
Ru (0.752, 0.376, 0.503)
Ru (0.248, 0.873, 0.497)

VASP calculation (SCAN) on a crystal of KAs3H relaxed with PBEsol.

Summary:
energy: -61.9 eV per cell
total magnetic moment: 0.11 μB per atom
ρ: 2.676 g cm⁻³

Lattice parameters (Å, degrees): 5.478 5.478 5.478 90.00 90.00 90.00
Each line ends with the local moment (μB).
Sites, in units of the cell vectors:
As (0.000, 0.500, 0.000)  0.06
H (0.500, 0.500, 0.500)  -0.36
As (0.000, 0.000, 0.500)  0.06
As (0.500, 0.000, 0.000)  0.06
K (0.000, 0.000, 0.000)  0.10

VASP calculation (SCAN) on a crystal of ScTa2Cu relaxed with PBEsol.

Summary:
total magnetic moment: 0.00 μB per atom
ρ: 11.544 g cm⁻³
energy of formation from the pure elements: 0.19 eV/atom
relative energy among the computed polymorphs: 93.8 meV/atom

Lattice parameters (Å, degrees): 3.965 3.965 4.303 90.00 90.00 90.00
Sites, in units of the cell vectors:
Ta (0.500, 0.000, 0.000)
Ta (0.000, 0.500, 0.000)
Cu (0.500, 0.500, 0.500)
Sc (0.000, 0.000, 0.500)

VASP calculation (SCAN) on a crystal of ZnRh4 relaxed with PBEsol.

Summary:
total magnetic moment: 0.00 μB per atom
ρ: 11.869 g cm⁻³
energy of formation from the pure elements: -0.14 eV/atom

Lattice parameters (Å, degrees): 3.768 4.611 4.611 80.39 65.88 65.88
Sites, in units of the cell vectors:
Zn (0.000, 0.000, 0.000)
Rh (0.398, 0.800, 0.405)
Rh (0.802, 0.595, 0.800)
Rh (0.198, 0.405, 0.200)
Rh (0.602, 0.200, 0.595)

VASP calculation (SCAN) on a crystal of TaHgIr2N relaxed with PBEsol.

Summary:
energy: -274.1 eV per cell
total magnetic moment: 0.31 μB per atom
ρ: 14.229 g cm⁻³

Lattice parameters (Å, degrees): 3.701 4.959 4.959 90.00 90.00 90.00
Each line ends with the local moment (μB).
Sites, in units of the cell vectors:
Ta (0.500, 0.500, 0.500)  -0.07
N (0.500, 0.000, 0.000)  0.82
Ir (0.000, 0.000, 0.500)  0.30
Ir (0.000, 0.500, 0.000)  0.30
Hg (0.000, 0.000, 0.000)  0.04

VASP calculation (SCAN) on a crystal of TcAs2Br relaxed with PBEsol.

Summary:
total magnetic moment: 0.51 μB per atom
ρ: 7.857 g cm⁻³
relative energy among the computed polymorphs: 907.7 meV/atom

Lattice parameters (Å, degrees): 2.950 4.845 4.845 90.00 90.00 90.00
Each line ends with the local moment (μB).
Sites, in units of the cell vectors:
As (0.000, 0.500, 0.000)  -0.04
As (0.000, 0.000, 0.500)  -0.04
Br (0.500, 0.500, 0.500)  0.03
Tc (0.500, 0.000, 0.000)  1.98

VASP calculation (SCAN) on a crystal of PdF4 relaxed with PBEsol.

Summary:
energy: -107.2 eV per cell
total magnetic moment: 0.00 μB per atom
ρ: 4.858 g cm⁻³

Lattice parameters (Å, degrees): 5.433 5.500 5.500 64.11 73.43 106.57
Sites, in units of the cell vectors:
F (0.222, 0.038, 0.772)
F (0.722, 0.478, 0.212)
F (0.778, 0.006, 0.184)
F (0.781, 0.481, 0.705)
F (0.278, 0.066, 0.244)
Pd (0.000, 0.239, 0.761)
F (0.281, 0.545, 0.769)
Pd (0.500, 0.489, 0.011)
F (0.219, 0.513, 0.300)
F (0.719, 0.950, 0.737)

VASP calculation (SCAN) on a crystal of CsZn2HgI relaxed with PBEsol.

Summary:
energy: -169.2 eV per cell
total magnetic moment: 0.00 μB per atom
ρ: 2.841 g cm⁻³

Lattice parameters (Å, degrees): 6.982 7.035 7.035 90.00 90.00 90.00
Sites, in units of the cell vectors:
Hg (0.500, 0.500, 0.500)
Zn (0.000, 0.500, 0.000)
Cs (0.500, 0.000, 0.000)
Zn (0.000, 0.000, 0.500)
I (0.000, 0.000, 0.000)

VASP calculation (SCAN) on a crystal of Li3ZnH relaxed with PBEsol.

Summary:
energy: -25.1 eV per cell
total magnetic moment: 0.00 μB per atom
ρ: 2.361 g cm⁻³

Lattice parameters (Å, degrees): 3.944 3.944 3.944 90.00 90.00 90.00
Sites, in units of the cell vectors:
H (0.000, 0.000, 0.000)
Li (0.000, 0.000, 0.500)
Li (0.500, 0.000, 0.000)
Li (0.000, 0.500, 0.000)
Zn (0.500, 0.500, 0.500)

VASP calculation (SCAN) on a crystal of BaLaMgOs2 relaxed with PBEsol.

Summary:
total magnetic moment: 0.13 μB per atom
ρ: 8.059 g cm⁻³
energy of formation from the pure elements: 2.31 eV/atom

Lattice parameters (Å, degrees): 5.060 5.060 5.480 90.00 90.00 90.00
Each line ends with the local moment (μB).
Sites, in units of the cell vectors:
Os (0.500, 0.000, 0.000)  0.35
Os (0.000, 0.500, 0.000)  0.35
Mg (0.500, 0.500, 0.500)  -0.01
Ba (0.000, 0.000, 0.000)  0.00
La (0.000, 0.000, 0.500)  -0.03

VASP calculation (SCAN) on a crystal of LiEr2Au relaxed with PBEsol.

Summary:
total magnetic moment: 0.00 μB per atom
ρ: 10.281 g cm⁻³
energy of formation from the pure elements: -0.59 eV/atom

Lattice parameters (Å, degrees): 4.973 4.973 4.973 60.00 60.00 60.00
Sites, in units of the cell vectors:
Au (0.000, 0.000, 0.000)
Li (0.500, 0.500, 0.500)
Er (0.750, 0.750, 0.750)
Er (0.250, 0.250, 0.250)

VASP calculation (SCAN) on a crystal of Ta2Zn2SnO8 relaxed with PBEsol.

Summary:
energy: -551.6 eV per cell
total magnetic moment: 0.00 μB per atom
ρ: 7.513 g cm⁻³

Lattice parameters (Å, degrees): 5.374 5.875 10.771 105.82 92.50 90.00
Sites, in units of the cell vectors:
O (0.614, 0.456, 0.138)
O (0.147, 0.450, 0.602)
O (0.853, 0.550, 0.398)
O (0.114, 0.682, 0.138)
Ta (0.215, 0.967, 0.251)
O (0.353, 0.849, 0.398)
O (0.519, 0.994, 0.161)
O (0.386, 0.544, 0.862)
Zn (0.277, 0.128, 0.558)
O (0.981, 0.833, 0.839)
Sn (0.750, 0.686, 0.000)
Zn (0.223, 0.570, 0.442)
Ta (0.715, 0.284, 0.251)
O (0.916, 0.071, 0.364)
O (0.584, 0.707, 0.636)
O (0.647, 0.151, 0.602)
O (0.481, 0.006, 0.839)
O (0.416, 0.293, 0.364)
O (0.084, 0.929, 0.636)
Zn (0.723, 0.872, 0.442)
Ta (0.785, 0.033, 0.749)
O (0.886, 0.318, 0.862)
Ta (0.285, 0.716, 0.749)
Sn (0.250, 0.314, 0.000)
Zn (0.777, 0.430, 0.558)
O (0.019, 0.167, 0.161)

VASP calculation (SCAN) on a crystal of KCaBe2W relaxed with PBEsol.

Summary:
total magnetic moment: 0.49 μB per atom
ρ: 4.244 g cm⁻³
energy of formation from the pure elements: 2.60 eV/atom

Lattice parameters (Å, degrees): 4.759 4.759 4.855 90.00 90.00 90.00
Each line ends with the local moment (μB).
Sites, in units of the cell vectors:
Be (0.500, 0.000, 0.000)  -0.14
Be (0.000, 0.500, 0.000)  -0.14
K (0.000, 0.000, 0.500)  0.01
Ca (0.000, 0.000, 0.000)  -0.18
W (0.500, 0.500, 0.500)  2.57

VASP calculation (SCAN) on a crystal of NbSb2Ir relaxed with PBEsol.

Summary:
total magnetic moment: 0.00 μB per atom
ρ: 12.016 g cm⁻³
relative energy among the computed polymorphs: 0.0 meV/atom

Lattice parameters (Å, degrees): 4.692 4.692 4.692 60.00 60.00 60.00
Sites, in units of the cell vectors:
Nb (0.000, 0.000, 0.000)
Ir (0.500, 0.500, 0.500)
Sb (0.250, 0.250, 0.250)
Sb (0.750, 0.750, 0.750)

VASP calculation (SCAN) on a crystal of AlCr2Sb relaxed with PBEsol.

Summary:
total magnetic moment: 0.00 μB per atom
ρ: 6.415 g cm⁻³
relative energy among the computed polymorphs: 540.8 meV/atom

Lattice parameters (Å, degrees): 3.829 3.829 9.324 101.85 101.85 90.00
Sites, in units of the cell vectors:
Cr (0.794, 0.375, 0.250)
Sb (0.000, 0.000, 0.000)
Cr (0.625, 0.544, 0.750)
Sb (0.250, 0.750, 0.500)
Al (0.500, 0.500, 0.000)
Al (0.750, 0.250, 0.500)
Cr (0.125, 0.206, 0.750)
Cr (0.456, 0.875, 0.250)

VASP calculation (SCAN) on a crystal of Na3CuO2 relaxed with PBEsol.

Summary:
total magnetic moment: 0.01 μB per atom
ρ: 3.145 g cm⁻³
relative energy among the computed polymorphs: 35.1 meV/atom

Lattice parameters (Å, degrees): 5.932 5.932 5.932 68.37 68.37 68.37
Sites, in units of the cell vectors:
Cu (0.500, 0.500, 0.500)
Cu (0.000, 0.000, 0.000)
Na (0.490, 0.010, 0.750)
Na (0.750, 0.490, 0.010)
Na (0.250, 0.510, 0.990)
O (0.132, 0.132, 0.132)
Na (0.510, 0.990, 0.250)
O (0.368, 0.368, 0.368)
O (0.868, 0.868, 0.868)
Na (0.010, 0.750, 0.490)
Na (0.990, 0.250, 0.510)
O (0.632, 0.632, 0.632)

VASP calculation (SCAN) on a crystal of LaTaMo relaxed with PBEsol.

Summary:
total magnetic moment: 0.00 μB per atom
ρ: 10.679 g cm⁻³
energy of formation from the pure elements: 1.92 eV/atom
relative energy among the computed polymorphs: 1350.3 meV/atom

Lattice parameters (Å, degrees): 4.505 4.505 4.505 60.00 60.00 60.00
Sites, in units of the cell vectors:
Ta (0.500, 0.500, 0.500)
La (0.750, 0.750, 0.750)
Mo (0.000, 0.000, 0.000)

VASP calculation (SCAN) on a crystal of TlInOs2 relaxed with PBEsol.

Summary:
total magnetic moment: 0.00 μB per atom
ρ: 16.187 g cm⁻³
energy of formation from the pure elements: 0.88 eV/atom
relative energy among the computed polymorphs: 401.8 meV/atom

Lattice parameters (Å, degrees): 2.963 4.800 5.495 104.38 90.00 107.98
Sites, in units of the cell vectors:
Os (0.746, 0.492, 0.797)
Os (0.254, 0.508, 0.203)
In (0.500, 0.000, 0.000)
Tl (0.000, 0.000, 0.500)